PrFeTcGe2 | PBE | relaxed

a b c (Å): 4.1032 4.1032 10.9333
angles (deg): 90.00 90.00 90.00
With the nearest neighbours (Å) after each atom.
Fractional positions:
Pr1 0.0000 0.0000 0.0000  8 Ge 3.20, 4 Fe 3.42, 4 Tc 3.42
Pr2 0.5000 0.5000 0.5000  8 Ge 3.20, 4 Fe 3.42, 4 Tc 3.42
Fe1 0.0000 0.5000 0.2500  4 Ge 2.47
Fe2 0.5000 0.0000 0.7500  4 Ge 2.47
Tc1 0.0000 0.5000 0.7500  4 Ge 2.47
Tc2 0.5000 0.0000 0.2500  4 Ge 2.47
Ge1 0.0000 0.0000 0.3761  2 Fe 2.47, 2 Tc 2.47, 1 Ge 2.71
Ge2 0.0000 0.0000 0.6239  2 Fe 2.47, 2 Tc 2.47, 1 Ge 2.71
Ge3 0.5000 0.5000 0.1239  2 Fe 2.47, 2 Tc 2.47, 1 Ge 2.71
Ge4 0.5000 0.5000 0.8761  2 Fe 2.47, 2 Tc 2.47, 1 Ge 2.71

Summary:
DFT formation energy: -0.431 eV/atom
DOS at the Fermi energy: 9.25 states/eV per cell
calculated volume: 18.4 A^3/atom
space-group type: I-4m2